Entry 1:
VASP calculation (GGA-PBE) on a geometry-optimized TlAsPd3Pb structure.

Unit cell a=7.7523 b=7.7523 c=5.7282 alpha=101.03 beta=101.03 gamma=127.27
Fractional coordinates of all 12 atoms:
Tl  0.2348  0.7652  0.7500
Tl  0.7652  0.2348  0.2500
As  0.0268  0.9732  0.2500
As  0.9732  0.0268  0.7500
Pd  0.1867  0.3545  0.5864
Pd  0.2053  0.7947  0.2500
Pd  0.3545  0.1867  0.0864
Pd  0.6455  0.8133  0.9136
Pd  0.7947  0.2053  0.7500
Pd  0.8133  0.6455  0.4136
Pb  0.4055  0.5945  0.2500
Pb  0.5945  0.4055  0.7500

total DFT energy (no corrections): -4.55 eV per atom
ΔE_f: -0.166 eV/atom
DOS(E_F): 7.08 states/eV per cell


Entry 2:
VASP calculation (GGA-PBE) on a geometry-optimized TlAsPdPb2 structure.

Unit cell a=5.8485 b=5.8485 c=5.1394 alpha=90.00 beta=90.00 gamma=90.00
Fractional coordinates of all 5 atoms:
Tl  0.0000  0.0000  0.0000
As  0.0000  0.0000  0.5000
Pd  0.5000  0.5000  0.5000
Pb  0.0000  0.5000  0.0000
Pb  0.5000  0.0000  0.0000

total DFT energy (no corrections): -2.96 eV per atom
ΔE_f: 0.963 eV/atom
DOS(E_F): 2.21 states/eV per cell


Entry 3:
VASP calculation (GGA-PBE) on a geometry-optimized Pm2AsPb structure.

Unit cell a=3.6581 b=3.6581 c=8.1608 alpha=90.00 beta=90.00 gamma=90.00
Fractional coordinates of all 4 atoms:
Pm  0.0000  0.0000  0.2140
Pm  0.0000  0.0000  0.7860
As  0.5000  0.5000  0.0000
Pb  0.5000  0.5000  0.5000

total DFT energy (no corrections): -5.28 eV per atom
ΔE_f: -0.814 eV/atom
distance to the lowest polymorph of the same formula: 190 meV/atom
DOS(E_F): 2.76 states/eV per cell